Here is crystalline TaAl2Tc2 at its relaxed geometry from the Alexandria database. Energies are from PBE.

Output
DOS(E_F) = 4.094 states/eV/cell
size of the total moment = 0.00 μB/f.u.
formation energy = -142 meV per atom
E above lowest polymorph = 94 meV/atom

Unit cell a=6.9703 b=6.9703 c=3.2313 alpha=90.00 beta=90.00 gamma=90.00
Sites, in units of the cell vectors:
1 Al 0.1424 0.6424 0.5000
2 Al 0.6424 0.8576 0.5000
3 Al 0.8576 0.3576 0.5000
4 Al 0.3576 0.1424 0.5000
5 Tc 0.3450 0.8450 0.0000
6 Tc 0.8450 0.6550 0.0000
7 Tc 0.6550 0.1550 0.0000
8 Tc 0.1550 0.3450 0.0000
9 Ta 0.0000 0.0000 0.0000
10 Ta 0.5000 0.5000 0.0000

***

Here is crystalline SiSb2RuI at its relaxed geometry from the Alexandria database. Energies are from PBE.

Output
DOS(E_F) = 4.263 states/eV/cell
size of the total moment = 0.00 μB/f.u.
formation energy from raw total energies = 127.9 kJ per mole of atoms
E above lowest polymorph = 542 meV/atom

Unit cell a=5.0787 b=5.0787 c=5.2071 alpha=90.00 beta=90.00 gamma=90.00
Sites, in units of the cell vectors:
1 I 0.0000 0.0000 0.5000
2 Sb 0.0000 0.5000 0.0000
3 Sb 0.5000 0.0000 0.0000
4 Si 0.0000 0.0000 0.0000
5 Ru 0.5000 0.5000 0.5000

***

Here is crystalline Dy2Mg2Ru at its relaxed geometry from the Alexandria database. Energies are from PBE.

Output
DOS(E_F) = 2.852 states/eV/cell
size of the total moment = 0.00 μB/f.u.
formation energy = -254 meV per atom

Unit cell a=3.4181 b=3.4181 c=10.5094 alpha=99.36 beta=99.36 gamma=90.00
Sites, in units of the cell vectors:
1 Dy 0.5809 0.5809 0.1617
2 Dy 0.4191 0.4191 0.8383
3 Mg 0.7972 0.7972 0.5944
4 Mg 0.2028 0.2028 0.4056
5 Ru 0.0000 0.0000 0.0000

***

Here is crystalline LiAl2AgTe4 at its relaxed geometry from the Alexandria database. Energies are from PBE.

Output
size of the total moment = 0.00 μB/f.u.
formation energy from raw total energies = -49.4 kJ per mole of atoms

Unit cell a=6.1017 b=6.1017 c=7.8958 alpha=112.73 beta=112.73 gamma=90.00
Sites, in units of the cell vectors:
1 Li 0.5005 0.5005 0.0008
2 Al 0.7500 0.2500 0.5001
3 Al 0.2500 0.7500 0.5001
4 Ag 0.9997 0.9997 0.9994
5 Te 0.6131 0.6131 0.7376
6 Te 0.3865 0.8760 0.2625
7 Te 0.8760 0.3865 0.2625
8 Te 0.1245 0.1245 0.7376

***

Here is crystalline GdAlC2 at its relaxed geometry from the Alexandria database. Energies are from PBE.

Output
DOS(E_F) = 2.852 states/eV/cell
size of the total moment = 5.86 μB/f.u.
formation energy = 364 meV per atom

Unit cell a=3.4728 b=3.4728 c=5.3365 alpha=71.01 beta=71.01 gamma=60.00
Each line ends with the local moment (μB).
Sites, in units of the cell vectors:
1 C 0.2648 0.2648 0.2057  -0.27
2 C 0.7352 0.7352 0.7943  -0.27
3 Gd 0.5000 0.5000 0.5000  6.78
4 Al 0.0000 0.0000 0.0000  0.00

***

Here is crystalline SiSbP2W at its relaxed geometry from the Alexandria database. Energies are from PBE.

Output
DOS(E_F) = 4.252 states/eV/cell
size of the total moment = 2.40 μB/f.u.
formation energy from raw total energies = 200.2 kJ per mole of atoms

Unit cell a=4.9971 b=5.1983 c=4.9971 alpha=90.00 beta=90.00 gamma=90.00
Each line ends with the local moment (μB).
Sites, in units of the cell vectors:
1 Sb 0.0000 0.0000 0.0000  -0.05
2 Si 0.5000 0.5000 0.5000  -0.08
3 W 0.0000 0.5000 0.0000  2.09
4 P 0.0000 0.0000 0.5000  -0.02
5 P 0.5000 0.0000 0.0000  -0.01

***

Here is crystalline As2PW at its relaxed geometry from the Alexandria database. Energies are from PBE.

Output
DOS(E_F) = 1.019 states/eV/cell
size of the total moment = 0.00 μB/f.u.
formation energy = 60 meV per atom

Unit cell a=3.1348 b=3.1348 c=7.3305 alpha=90.00 beta=90.00 gamma=90.00
Sites, in units of the cell vectors:
1 As 0.0000 0.0000 0.9294
2 As 0.5000 0.5000 0.3316
3 P 0.0000 0.0000 0.5378
4 W 0.5000 0.5000 0.7011

***

Here is crystalline La2YZrO at its relaxed geometry from the Alexandria database. Energies are from PBE.

Output
DOS(E_F) = 4.540 states/eV/cell
size of the total moment = 0.00 μB/f.u.
formation energy from raw total energies = -103.3 kJ per mole of atoms
E above lowest polymorph = 18 meV/atom

Unit cell a=5.3542 b=5.3542 c=4.3975 alpha=90.00 beta=90.00 gamma=90.00
Sites, in units of the cell vectors:
1 Y 0.5000 0.5000 0.5000
2 O 0.0000 0.0000 0.0000
3 Zr 0.0000 0.0000 0.5000
4 La 0.0000 0.5000 0.0000
5 La 0.5000 0.0000 0.0000

***

Here is crystalline Ba4SbTe2I at its relaxed geometry from the Alexandria database. Energies are from PBE.

Output
size of the total moment = 0.00 μB/f.u.
formation energy from raw total energies = -151.4 kJ per mole of atoms

Unit cell a=5.0491 b=8.6965 c=8.7118 alpha=71.08 beta=90.00 gamma=90.00
Sites, in units of the cell vectors:
1 Ba 0.0000 0.7594 0.7302
2 Ba 0.0000 0.2406 0.2698
3 Ba 0.5000 0.7475 0.2624
4 Ba 0.5000 0.2525 0.7376
5 Sb 0.0000 0.5000 0.5000
6 Te 0.0000 0.0000 0.0000
7 Te 0.5000 0.0000 0.5000
8 I 0.5000 0.5000 0.0000

***

Here is crystalline Sb2TeRuAu at its relaxed geometry from the Alexandria database. Energies are from PBE.

Output
DOS(E_F) = 7.992 states/eV/cell
size of the total moment = 0.00 μB/f.u.
formation energy from raw total energies = 127.2 kJ per mole of atoms
E above lowest polymorph = 802 meV/atom

Unit cell a=5.2468 b=5.2468 c=5.3574 alpha=90.00 beta=90.00 gamma=90.00
Sites, in units of the cell vectors:
1 Sb 0.0000 0.5000 0.0000
2 Sb 0.5000 0.0000 0.0000
3 Te 0.0000 0.0000 0.5000
4 Au 0.0000 0.0000 0.0000
5 Ru 0.5000 0.5000 0.5000

***

Here is crystalline BeZn2Au2 at its relaxed geometry from the Alexandria database. Energies are from PBE.

Output
DOS(E_F) = 2.688 states/eV/cell
size of the total moment = 0.00 μB/f.u.
formation energy = -31 meV per atom
E above lowest polymorph = 65 meV/atom

Unit cell a=6.3265 b=6.3265 c=4.0235 alpha=90.00 beta=90.00 gamma=90.00
Sites, in units of the cell vectors:
1 Be 0.0000 0.0000 0.0000
2 Be 0.5000 0.5000 0.0000
3 Zn 0.1481 0.6481 0.5000
4 Zn 0.6481 0.8519 0.5000
5 Zn 0.8519 0.3519 0.5000
6 Zn 0.3519 0.1481 0.5000
7 Au 0.3344 0.8344 0.0000
8 Au 0.8344 0.6656 0.0000
9 Au 0.6656 0.1656 0.0000
10 Au 0.1656 0.3344 0.0000